Entry 1:
Computed, not measured: an optimized crystal structure of Hf3Zn2Pt4 at the PBE level of DFT.

Properties
DOS at the Fermi energy: 0.62 states/eV/atom
Energy of formation: -0.8840 eV per atom
M_tot: 0.000 μB per cell

abc: 8.135 4.689 8.469
angles: 90.00 100.77 90.00
Space group C2/m (No. 12)
Asymmetric unit:
Hf 0.000 0.000 0.000 [2 per cell]
Hf 0.129 0.500 0.747 [4 per cell]
Zn 0.230 0.500 0.406 [4 per cell]
Pt 0.047 0.000 0.329 [4 per cell]
Pt 0.184 0.500 0.076 [4 per cell]

Entry 2:
Computed, not measured: an optimized crystal structure of HfZnPt3 at the PBE level of DFT.

Properties
Offset from the most stable computed form: 754 meV per atom
DOS at the Fermi energy: 0.88 states/eV/atom
Energy of formation: 0.2116 eV per atom
M_tot: 0.000 μB per cell

abc: 4.573 4.573 4.573
angles: 90.00 90.00 90.00
Space group Pm-3m (No. 221)
Asymmetric unit:
Hf 0.000 0.000 0.000 [1 per cell]
Zn 0.500 0.500 0.500 [1 per cell]
Pt 0.000 0.500 0.500 [3 per cell]

Entry 3:
Computed, not measured: an optimized crystal structure of Hf2Zn2Pt3 at the PBE level of DFT.

Properties
DOS at the Fermi energy: 0.34 states/eV/atom
Energy of formation: -0.8302 eV per atom
M_tot: 0.000 μB per cell

abc: 7.954 4.742 7.464
angles: 90.00 119.90 90.00
Space group C2/m (No. 12)
Asymmetric unit:
Hf 0.080 0.000 0.330 [4 per cell]
Zn 0.198 0.500 0.900 [4 per cell]
Pt 0.000 0.500 0.500 [2 per cell]
Pt 0.200 0.500 0.250 [4 per cell]

Entry 4:
Computed, not measured: an optimized crystal structure of Hf4ZnPt at the PBE level of DFT.

Properties
DOS at the Fermi energy: 1.03 states/eV/atom
Energy of formation: -0.1345 eV per atom
M_tot: 0.000 μB per cell

abc: 4.512 4.512 6.485
angles: 90.00 90.00 90.00
Space group P4/mmm (No. 123)
Asymmetric unit:
Hf 0.000 0.500 0.250 [4 per cell]
Zn 0.000 0.000 0.000 [1 per cell]
Pt 0.500 0.500 0.500 [1 per cell]

Entry 5:
Computed, not measured: an optimized crystal structure of Hf2Zn6Pt at the PBE level of DFT.

Properties
DOS at the Fermi energy: 0.58 states/eV/atom
Energy of formation: -0.2674 eV per atom
M_tot: 0.000 μB per cell

abc: 5.3483 5.3483 5.9155
angles: 90.00 90.00 120.00
Space group P-3m1 (No. 164)
Asymmetric unit:
Hf 0.3333 0.6667 0.3885 [2 per cell]
Zn 0.1759 0.3518 0.8314 [6 per cell]
Pt 0.0000 0.0000 0.5000 [1 per cell]

Entry 6:
Computed, not measured: an optimized crystal structure of HfZrPt2 at the PBE level of DFT.

Properties
DOS at the Fermi energy: 0.77 states/eV/atom
Energy of formation: -1.0465 eV per atom
M_tot: 0.000 μB per cell

abc: 5.476 5.477 10.760
angles: 90.00 104.70 90.00
Space group P2/c (No. 13)
Asymmetric unit:
Hf 0.197 0.125 0.144 [4 per cell]
Zr 0.304 0.375 0.857 [4 per cell]
Pt 0.172 0.374 0.596 [4 per cell]
Pt 0.325 0.123 0.402 [4 per cell]

Entry 7:
Computed, not measured: an optimized crystal structure of Hf2ZrPt at the PBE level of DFT.

Properties
Offset from the most stable computed form: 114 meV per atom
DOS at the Fermi energy: 1.73 states/eV/atom
Energy of formation: -0.4428 eV per atom
M_tot: 0.000 μB per cell

abc: 4.699 4.699 3.575
angles: 90.00 90.00 90.00
Space group P4/mmm (No. 123)
Asymmetric unit:
Hf 0.000 0.500 0.000 [2 per cell]
Zr 0.000 0.000 0.500 [1 per cell]
Pt 0.500 0.500 0.500 [1 per cell]

Entry 8:
Computed, not measured: an optimized crystal structure of HfZrPt at the PBE level of DFT.

Properties
Offset from the most stable computed form: 240 meV per atom
DOS at the Fermi energy: 1.10 states/eV/atom
Energy of formation: -0.5361 eV per atom
M_tot: 0.001 μB per cell

abc: 9.281 4.503 6.517
angles: 90.00 90.00 90.00
Space group Pnma (No. 62)
Asymmetric unit:
Hf 0.128 0.250 0.025 [4 per cell]
Zr 0.119 0.250 0.525 [4 per cell]
Pt 0.130 0.750 0.778 [4 per cell]

Entry 9:
Computed, not measured: an optimized crystal structure of Hf2Zr4Pt at the PBE level of DFT.

Properties
DOS at the Fermi energy: 1.52 states/eV/atom
Energy of formation: 0.5945 eV per atom
M_tot: 0.000 μB per cell

abc: 5.151 5.151 13.837
angles: 90.00 90.00 90.00
Space group I4/mmm (No. 139)
Asymmetric unit:
Hf 0.000 0.000 0.108 [4 per cell]
Zr 0.000 0.000 0.309 [4 per cell]
Zr 0.000 0.500 0.000 [4 per cell]
Pt 0.000 0.000 0.500 [2 per cell]

Entry 10:
Computed, not measured: an optimized crystal structure of HfZr2Pt2 at the PBE level of DFT.

Properties
Offset from the most stable computed form: 267 meV per atom
DOS at the Fermi energy: 0.86 states/eV/atom
Energy of formation: -0.5798 eV per atom
M_tot: 0.263 μB per cell

abc: 7.894 7.894 3.193
angles: 90.00 90.00 90.00
Space group P4/mbm (No. 127)
Asymmetric unit:
Hf 0.000 0.000 0.000 [2 per cell]
Zr 0.158 0.342 0.000 [4 per cell]
Pt 0.140 0.640 0.500 [4 per cell]